# CuNi2Bi, optimized geometry, DFT PBE
# calculated formation energy = 0.3 eV per formula unit
# total magnetization = 0.000 μB/atom
data_CuNi2Bi
_cell_length_a 3.8493
_cell_length_b 3.8456
_cell_length_c 16.3867
_cell_angle_alpha 90.00
_cell_angle_beta 90.00
_cell_angle_gamma 90.00
_space_group_name_H-M_alt 'A m m 2'
_space_group_IT_number 38
loop_
_space_group_symop_operation_xyz
'x,y,z'
'-x,-y,z'
'-x,y,z'
'x,-y,z'
'x,y+1/2,z+1/2'
'-x,-y+1/2,z+1/2'
'-x,y+1/2,z+1/2'
'x,-y+1/2,z+1/2'
loop_
_atom_site_label
_atom_site_type_symbol
_atom_site_fract_x
_atom_site_fract_y
_atom_site_fract_z
Cu1 Cu 0.0000 0.0000 0.0000
Cu2 Cu 0.0000 0.0000 0.4060
Ni1 Ni 0.0000 0.0000 0.5977
Ni2 Ni 0.5000 0.0000 0.3063
Ni3 Ni 0.5000 0.0000 0.5005
Ni4 Ni 0.5000 0.0000 0.9031
Bi1 Bi 0.0000 0.0000 0.7740
Bi2 Bi 0.5000 0.0000 0.1311